Record 1
Rb2Zn3BiF12: optimized geometry, GGA-PBE.

The total DFT energy (no corrections) is -224.015 eV for the cell shown. The uncorrected formation energy is -2.37 eV per atom.

It has space group R-3m (No. 166, hexagonal axes), with a = 7.5059 Å, b = 7.5059 Å, c = 19.2718 Å, α = 90.00°, β = 90.00° and γ = 120.00°. The distinct sites, in fractional coordinates, are Rb at (0.0000, 0.0000, 0.1042), Zn at (0.0000, 0.5000, 0.0000), Bi at (0.0000, 0.0000, 0.5000), F at (0.0345, 0.5172, 0.1095) and F at (0.0705, 0.5352, 0.3414).

Record 2
NbTcHIr2: optimized geometry, GGA-PBE.

The total DFT energy (no corrections) is -42.767 eV for the cell shown. Its energy above the lowest structure with this stoichiometry is 0.0548 eV/atom.

It has space group P4/mmm (No. 123), with a = 3.919 Å, b = 3.919 Å, c = 4.115 Å, α = 90.00°, β = 90.00° and γ = 90.00°. The distinct sites, in fractional coordinates, are Nb at (0.000, 0.000, 0.000), Tc at (0.500, 0.500, 0.000), H at (0.000, 0.000, 0.500) and Ir at (0.000, 0.500, 0.500).

Record 3
YInAu: optimized geometry, GGA-PBE.

The total DFT energy (no corrections) is -28.322 eV for the cell shown. The energy of formation is -54.1 kJ per mole of atoms.

It has space group I4mm (No. 107), with a = 3.513 Å, b = 3.513 Å, c = 11.478 Å, α = 90.00°, β = 90.00° and γ = 90.00°. The distinct sites, in fractional coordinates, are Y at (0.000, 0.000, 0.000), In at (0.000, 0.000, 0.695) and Au at (0.000, 0.000, 0.347).

Record 4
Tc5Sb: optimized geometry, GGA-PBE.

The total DFT energy (no corrections) is -55.212 eV for the cell shown. The uncorrected formation energy is 0.12 eV per atom. Its energy above the lowest structure with this stoichiometry is 0.0115 eV/atom.

It has space group P-62m (No. 189), with a = 4.8473 Å, b = 4.8473 Å, c = 4.5343 Å, α = 90.00°, β = 90.00° and γ = 120.00°. The distinct sites, in fractional coordinates, are Tc at (0.0000, 0.6609, 0.0000), Tc at (0.3333, 0.6667, 0.5000) and Sb at (0.0000, 0.0000, 0.5000).

no.,D(E_F) (states/eV per atom)
1,0.464
2,0.722
3,0.472
4,0.953